ReSnP2, optimized geometry, DFT GGA-PBE; formation enthalpy at 0 K = 18 kJ/mol of atoms; uncorrected energy = -6.6332 eV/atom; density = 6.6 g/cm3
1.0
-2.874 2.874 5.568
2.874 -2.874 5.568
2.874 2.874 -5.568
Re Sn P
2 2 4
direct
0.000 0.000 0.000 Re
0.750 0.250 0.500 Re
0.250 0.750 0.500 Sn
0.500 0.500 0.000 Sn
0.067 0.625 0.942 P
0.375 0.317 0.442 P
0.683 0.125 0.058 P
0.875 0.933 0.558 P

=====

AcBe2TlF8, optimized geometry, DFT GGA-PBE; energy relative to the elements, uncorrected = -3.334 eV/atom; uncorrected energy = -5.7422 eV/atom; density = 5.6 g/cm3
1.0
3.012 1.739 5.723
-3.012 1.739 5.723
0.000 -3.478 5.723
Ac Be Tl F
1 2 1 8
direct
0.000 0.000 0.000 Ac
0.240 0.240 0.240 Be
0.760 0.760 0.760 Be
0.500 0.500 0.500 Tl
0.031 0.521 0.263 F
0.150 0.150 0.150 F
0.263 0.031 0.521 F
0.479 0.737 0.969 F
0.521 0.263 0.031 F
0.737 0.969 0.479 F
0.850 0.850 0.850 F
0.969 0.479 0.737 F